Computed, not measured: crystalline Rb5HAu2 at its relaxed geometry at the PBE level of DFT.

## Properties
SG   No. 62
DFT total energy   -1.98 eV per atom
Density   3.521 g/cm³
M_tot   0.001 μB/cell

a = 15.724 Å, b = 5.332 Å, c = 18.502 Å
α = 90.00°, β = 90.00°, γ = 90.00°
Sites, in units of the cell vectors:
Rb (0.007, 0.250, 0.147)
Rb (0.015, 0.750, 0.395)
Rb (0.200, 0.250, 0.971)
Rb (0.236, 0.250, 0.291)
Rb (0.247, 0.750, 0.130)
Rb (0.253, 0.250, 0.630)
Rb (0.264, 0.750, 0.791)
Rb (0.300, 0.750, 0.471)
Rb (0.485, 0.250, 0.895)
Rb (0.493, 0.750, 0.647)
Rb (0.507, 0.250, 0.353)
Rb (0.515, 0.750, 0.105)
Rb (0.700, 0.250, 0.529)
Rb (0.736, 0.250, 0.209)
Rb (0.747, 0.750, 0.370)
Rb (0.753, 0.250, 0.870)
Rb (0.764, 0.750, 0.709)
Rb (0.800, 0.750, 0.029)
Rb (0.985, 0.250, 0.605)
Rb (0.993, 0.750, 0.853)
H (0.188, 0.250, 0.138)
H (0.312, 0.750, 0.638)
H (0.688, 0.250, 0.362)
H (0.812, 0.750, 0.862)
Au (0.117, 0.250, 0.781)
Au (0.146, 0.250, 0.466)
Au (0.354, 0.750, 0.966)
Au (0.383, 0.750, 0.281)
Au (0.617, 0.250, 0.719)
Au (0.646, 0.250, 0.034)
Au (0.854, 0.750, 0.534)
Au (0.883, 0.750, 0.219)